# 1
Here is an optimized crystal structure of Ac3PmNd2S6 from Alexandria via LeMat-Bulk. Energies are from PBE-GGA.

Structure (CIF):
```
data_Ac3PmNd2S6
_chemical_formula_sum 'Ac6 Pm2 Nd4 S12'
_space_group_name_H-M_alt 'C 1 2/m 1'
_space_group_IT_number 12
_cell_length_a 7.220
_cell_length_b 12.527
_cell_length_c 7.268
_cell_angle_alpha 90.00
_cell_angle_beta 109.44
_cell_angle_gamma 90.00
loop_
_space_group_symop_operation_xyz
'x,y,z'
'-x,-y,-z'
'-x,y,-z'
'x,-y,z'
'x+1/2,y+1/2,z'
'-x+1/2,-y+1/2,-z'
'-x+1/2,y+1/2,-z'
'x+1/2,-y+1/2,z'
loop_
_atom_site_label
_atom_site_type_symbol
_atom_site_fract_x
_atom_site_fract_y
_atom_site_fract_z
Ac1 Ac 0.000 0.000 0.000
Ac2 Ac 0.000 0.333 0.000
Pm1 Pm 0.000 0.500 0.500
Nd1 Nd 0.000 0.167 0.500
S1 S 0.243 0.334 0.734
S2 S 0.247 0.000 0.734
```

Summary:
Its total moment is 0.0 μB/f.u. The uncorrected formation energy comes out at -2.0141 eV per atom. The calculation puts the calculated total energy at -6.30 eV per atom. Its density of states at the Fermi level is 11.6 states/eV per cell.

---

# 2
Here is an optimized crystal structure of AcPm3Nd2S6 from Alexandria via LeMat-Bulk. Energies are from PBE-GGA.

Structure (CIF):
```
data_AcPm3Nd2S6
_chemical_formula_sum 'Ac2 Pm6 Nd4 S12'
_space_group_name_H-M_alt 'C 1 2/m 1'
_space_group_IT_number 12
_cell_length_a 7.074
_cell_length_b 12.291
_cell_length_c 7.095
_cell_angle_alpha 90.00
_cell_angle_beta 109.52
_cell_angle_gamma 90.00
loop_
_space_group_symop_operation_xyz
'x,y,z'
'-x,-y,-z'
'-x,y,-z'
'x,-y,z'
'x+1/2,y+1/2,z'
'-x+1/2,-y+1/2,-z'
'-x+1/2,y+1/2,-z'
'x+1/2,-y+1/2,z'
loop_
_atom_site_label
_atom_site_type_symbol
_atom_site_fract_x
_atom_site_fract_y
_atom_site_fract_z
Ac1 Ac 0.000 0.000 0.000
Pm1 Pm 0.000 0.165 0.500
Pm2 Pm 0.000 0.500 0.500
Nd1 Nd 0.000 0.333 0.000
S1 S 0.243 0.330 0.741
S2 S 0.245 0.500 0.256
```

Summary:
Its total moment is 0.0 μB/f.u. The uncorrected formation energy comes out at -2.0201 eV per atom. The calculation puts the calculated total energy at -6.41 eV per atom. Its density of states at the Fermi level is 10.9 states/eV per cell.

---

# 3
Here is an optimized crystal structure of Ac2PmNdS4 from Alexandria via LeMat-Bulk. Energies are from PBE-GGA.

Structure (CIF):
```
data_Ac2PmNdS4
_chemical_formula_sum 'Ac2 Pm1 Nd1 S4'
_space_group_name_H-M_alt 'P 1 2/m 1'
_space_group_IT_number 10
_cell_length_a 7.227
_cell_length_b 4.142
_cell_length_c 7.293
_cell_angle_alpha 90.00
_cell_angle_beta 109.13
_cell_angle_gamma 90.00
loop_
_space_group_symop_operation_xyz
'x,y,z'
'-x,-y,-z'
'-x,y,-z'
'x,-y,z'
loop_
_atom_site_label
_atom_site_type_symbol
_atom_site_fract_x
_atom_site_fract_y
_atom_site_fract_z
Ac1 Ac 0.000 0.000 0.000
Ac2 Ac 0.500 0.500 0.000
Pm1 Pm 0.000 0.500 0.500
Nd1 Nd 0.500 0.000 0.500
S1 S 0.242 0.000 0.732
S2 S 0.254 0.500 0.266
```

Summary:
Its total moment is 0.0 μB/f.u. The uncorrected formation energy comes out at -2.0100 eV per atom. The calculation puts the calculated total energy at -6.29 eV per atom. Its density of states at the Fermi level is 5.0 states/eV per cell.